DFT (PBE) results for an optimized crystal structure of Cu2Ag.

E_tot = -3.361 eV per atom
Calculated volume = 84 Å³ per cell
ΔH_f (0 K) = 5.6 kJ per mole of atoms

a = 4.9106 Å, b = 4.9106 Å, c = 4.9106 Å
α = 60.11°, β = 60.11°, γ = 60.11°
Last column: nearest neighbours and their distance in Å.
Atoms (fractional coordinates):
Cu 0.0000 0.0000 0.0000  6 Cu 2.46
Cu 0.0000 0.0000 0.5000  6 Cu 2.46
Cu 0.0000 0.5000 0.0000  6 Cu 2.46
Cu 0.5000 0.0000 0.0000  6 Cu 2.46
Ag 0.3743 0.3743 0.3743  12 Cu 2.87-2.89, 4 Ag 3.01-3.02
Ag 0.6257 0.6257 0.6257  12 Cu 2.87-2.89, 4 Ag 3.01-3.02